Entry 1:
## RbHfAs (PBE-GGA)

Data for a relaxed RbHfAs crystal.

Output
SG: F-43m
Spin magnetization (μB/cell): 1.2
Calculated total energy (eV per atom): -3.61

a b c (Å): 5.080 5.080 5.080
angles (deg): 60.00 60.00 60.00
Fractional positions:
1 Rb 0.000 0.000 0.000
2 Hf 0.250 0.250 0.250
3 As 0.750 0.750 0.750

Entry 2:
## RbHfAs (PBE-GGA)

Data for a relaxed RbHfAs crystal.

Output
SG: F-43m
Spin magnetization (μB/cell): 1.0
Calculated total energy (eV per atom): -4.55

a b c (Å): 4.957 4.957 4.957
angles (deg): 60.00 60.00 60.00
Fractional positions:
1 Rb 0.000 0.000 0.000
2 Hf 0.500 0.500 0.500
3 As 0.750 0.750 0.750

Entry 3:
## RbHf3As5 (PBE-GGA)

Data for a relaxed RbHf3As5 crystal.

Output
SG: P6/mmm
Spin magnetization (μB/cell): 0.0
Calculated total energy (eV per atom): -6.52

a b c (Å): 6.154 6.154 6.521
angles (deg): 90.00 90.00 120.00
Fractional positions:
1 Rb 0.000 0.000 0.000
2 Hf 0.000 0.500 0.500
3 Hf 0.500 0.000 0.500
4 Hf 0.500 0.500 0.500
5 As 0.000 0.000 0.500
6 As 0.333 0.667 0.194
7 As 0.333 0.667 0.806
8 As 0.667 0.333 0.194
9 As 0.667 0.333 0.806

Entry 4:
## Hf9Re4As (PBE-GGA)

Data for a relaxed Hf9Re4As crystal.

Output
SG: P6_3/mmc
Spin magnetization (μB/cell): 0.1
Calculated total energy (eV per atom): -10.69

a b c (Å): 8.586 8.586 8.632
angles (deg): 90.00 90.00 120.00
Fractional positions:
1 Hf 0.082 0.541 0.250
2 Hf 0.194 0.387 0.546
3 Hf 0.194 0.387 0.954
4 Hf 0.194 0.806 0.546
5 Hf 0.194 0.806 0.954
6 Hf 0.387 0.194 0.046
7 Hf 0.387 0.194 0.454
8 Hf 0.459 0.541 0.250
9 Hf 0.459 0.918 0.250
10 Hf 0.541 0.082 0.750
11 Hf 0.541 0.459 0.750
12 Hf 0.613 0.806 0.546
13 Hf 0.613 0.806 0.954
14 Hf 0.806 0.194 0.046
15 Hf 0.806 0.194 0.454
16 Hf 0.806 0.613 0.046
17 Hf 0.806 0.613 0.454
18 Hf 0.918 0.459 0.750
19 Re 0.000 0.000 0.000
20 Re 0.000 0.000 0.500
21 Re 0.109 0.218 0.250
22 Re 0.109 0.891 0.250
23 Re 0.218 0.109 0.750
24 Re 0.782 0.891 0.250
25 Re 0.891 0.109 0.750
26 Re 0.891 0.782 0.750
27 As 0.333 0.667 0.750
28 As 0.667 0.333 0.250

Entry 5:
## HfRe2As (PBE-GGA)

Data for a relaxed HfRe2As crystal.

Output
SG: F-43m
Spin magnetization (μB/cell): 0.0
Calculated total energy (eV per atom): -9.58

a b c (Å): 4.544 4.544 4.544
angles (deg): 60.00 60.00 60.00
Fractional positions:
1 Hf 0.000 0.000 0.000
2 Re 0.250 0.250 0.250
3 Re 0.500 0.500 0.500
4 As 0.750 0.750 0.750

Entry 6:
## HfReAs (PBE-GGA)

Data for a relaxed HfReAs crystal.

Output
SG: F-43m
Spin magnetization (μB/cell): 0.9
Calculated total energy (eV per atom): -8.78

a b c (Å): 4.297 4.297 4.297
angles (deg): 60.00 60.00 60.00
Fractional positions:
1 Hf 0.000 0.000 0.000
2 Re 0.500 0.500 0.500
3 As 0.250 0.250 0.250

Entry 7:
## Hf3Sb4As4 (PBE-GGA)

Data for a relaxed Hf3Sb4As4 crystal.

Output
SG: Pm
Spin magnetization (μB/cell): 0.0
Calculated total energy (eV per atom): -6.21

a b c (Å): 7.337 3.641 9.376
angles (deg): 90.00 94.90 90.00
Fractional positions:
1 Hf 0.000 0.000 0.000
2 Hf 0.246 0.500 0.478
3 Hf 0.752 0.500 0.527
4 Sb 0.046 0.000 0.676
5 Sb 0.332 0.500 0.926
6 Sb 0.500 0.000 0.335
7 Sb 0.694 0.500 0.105
8 As 0.165 0.500 0.184
9 As 0.500 0.000 0.631
10 As 0.808 0.500 0.827
11 As 0.971 0.000 0.364

Entry 8:
## Hf3ZrSb2As2 (PBE-GGA)

Data for a relaxed Hf3ZrSb2As2 crystal.

Output
SG: P3m1
Spin magnetization (μB/cell): 0.0
Calculated total energy (eV per atom): -7.84

a b c (Å): 3.919 3.919 13.250
angles (deg): 90.00 90.00 120.00
Fractional positions:
1 Hf 0.000 0.000 0.000
2 Hf 0.000 0.000 0.284
3 Hf 0.333 0.667 0.786
4 Zr 0.333 0.667 0.500
5 Sb 0.000 0.000 0.645
6 Sb 0.333 0.667 0.142
7 As 0.667 0.333 0.390
8 As 0.667 0.333 0.893

Entry 9:
## HfScAs (PBE-GGA)

Data for a relaxed HfScAs crystal.

Output
SG: F-43m
Spin magnetization (μB/cell): 0.6
Calculated total energy (eV per atom): -7.47

a b c (Å): 4.469 4.469 4.469
angles (deg): 60.00 60.00 60.00
Fractional positions:
1 Hf 0.000 0.000 0.000
2 Sc 0.500 0.500 0.500
3 As 0.250 0.250 0.250

Entry 10:
## HfSc2As (PBE-GGA)

Data for a relaxed HfSc2As crystal.

Output
SG: F-43m
Spin magnetization (μB/cell): 1.0
Calculated total energy (eV per atom): -6.91

a b c (Å): 4.807 4.807 4.807
angles (deg): 60.00 60.00 60.00
Fractional positions:
1 Hf 0.000 0.000 0.000
2 Sc 0.250 0.250 0.250
3 Sc 0.500 0.500 0.500
4 As 0.750 0.750 0.750

Entry 11:
## HfZrAs2Se2 (PBE-GGA)

Data for a relaxed HfZrAs2Se2 crystal.

Output
SG: Imm2
Spin magnetization (μB/cell): 0.0
Calculated total energy (eV per atom): -6.87

a b c (Å): 7.163 7.163 7.163
angles (deg): 150.37 136.97 53.11
Fractional positions:
1 Hf 0.000 0.000 0.000
2 Zr 0.263 0.263 0.000
3 As 0.392 0.631 0.761
4 As 0.870 0.631 0.239
5 Se 0.424 0.924 0.500
6 Se 0.843 0.343 0.500

Entry 12:
## HfSiAs2 (PBE-GGA)

Data for a relaxed HfSiAs2 crystal.

Output
SG: F-43m
Spin magnetization (μB/cell): 0.0
Calculated total energy (eV per atom): -5.97

a b c (Å): 4.719 4.719 4.719
angles (deg): 60.00 60.00 60.00
Fractional positions:
1 Hf 0.000 0.000 0.000
2 Si 0.750 0.750 0.750
3 As 0.250 0.250 0.250
4 As 0.500 0.500 0.500

Entry 13:
## HfTaSi2As2 (PBE-GGA)

Data for a relaxed HfTaSi2As2 crystal.

Output
SG: P4mm
Spin magnetization (μB/cell): 0.0
Calculated total energy (eV per atom): -7.61

a b c (Å): 3.552 3.552 8.094
angles (deg): 90.00 90.00 90.00
Fractional positions:
1 Hf 0.000 0.000 0.000
2 Ta 0.500 0.500 0.483
3 Si 0.000 0.500 0.733
4 Si 0.500 0.000 0.733
5 As 0.000 0.000 0.353
6 As 0.500 0.500 0.133

Entry 14:
## SmHfAs (PBE-GGA)

Data for a relaxed SmHfAs crystal.

Output
SG: F-43m
Spin magnetization (μB/cell): 1.9
Calculated total energy (eV per atom): -5.80

a b c (Å): 4.941 4.941 4.941
angles (deg): 60.00 60.00 60.00
Fractional positions:
1 Sm 0.000 0.000 0.000
2 Hf 0.250 0.250 0.250
3 As 0.750 0.750 0.750

Entry 15:
## SmHf6As2 (PBE-GGA)

Data for a relaxed SmHf6As2 crystal.

Output
SG: P-62m
Spin magnetization (μB/cell): 0.0
Calculated total energy (eV per atom): -8.37

a b c (Å): 7.545 7.545 3.830
angles (deg): 90.00 90.00 120.00
Fractional positions:
1 Sm 0.000 0.000 0.000
2 Hf 0.000 0.268 0.500
3 Hf 0.000 0.580 0.000
4 Hf 0.268 0.000 0.500
5 Hf 0.420 0.420 0.000
6 Hf 0.580 0.000 0.000
7 Hf 0.732 0.732 0.500
8 As 0.333 0.667 0.500
9 As 0.667 0.333 0.500

Entry 16:
## SmHfAs (PBE-GGA)

Data for a relaxed SmHfAs crystal.

Output
SG: F-43m
Spin magnetization (μB/cell): 0.1
Calculated total energy (eV per atom): -6.84

a b c (Å): 4.699 4.699 4.699
angles (deg): 60.00 60.00 60.00
Fractional positions:
1 Sm 0.000 0.000 0.000
2 Hf 0.500 0.500 0.500
3 As 0.750 0.750 0.750

Entry 17:
## HfSnAs2 (PBE-GGA)

Data for a relaxed HfSnAs2 crystal.

Output
SG: P-3m1
Spin magnetization (μB/cell): 0.0
Calculated total energy (eV per atom): -6.27

a b c (Å): 3.934 3.934 13.552
angles (deg): 90.00 90.00 120.00
Fractional positions:
1 Hf 0.333 0.667 0.112
2 Hf 0.667 0.333 0.888
3 Sn 0.333 0.667 0.374
4 Sn 0.667 0.333 0.626
5 As 0.000 0.000 0.000
6 As 0.000 0.000 0.500
7 As 0.333 0.667 0.774
8 As 0.667 0.333 0.226

Entry 18:
## HfSnAs2 (PBE-GGA)

Data for a relaxed HfSnAs2 crystal.

Output
SG: F-43m
Spin magnetization (μB/cell): 0.0
Calculated total energy (eV per atom): -5.61

a b c (Å): 4.935 4.935 4.935
angles (deg): 60.00 60.00 60.00
Fractional positions:
1 Hf 0.000 0.000 0.000
2 Sn 0.750 0.750 0.750
3 As 0.250 0.250 0.250
4 As 0.500 0.500 0.500

Entry 19:
## HfSnAs2 (PBE-GGA)

Data for a relaxed HfSnAs2 crystal.

Output
SG: P-6m2
Spin magnetization (μB/cell): 0.0
Calculated total energy (eV per atom): -6.30

a b c (Å): 3.873 3.873 14.228
angles (deg): 90.00 90.00 120.00
Fractional positions:
1 Hf 0.000 0.000 0.117
2 Hf 0.000 0.000 0.883
3 Sn 0.667 0.333 0.375
4 Sn 0.667 0.333 0.625
5 As 0.000 0.000 0.500
6 As 0.333 0.667 0.223
7 As 0.333 0.667 0.777
8 As 0.667 0.333 0.000

Entry 20:
## HfSn2As (PBE-GGA)

Data for a relaxed HfSn2As crystal.

Output
SG: F-43m
Spin magnetization (μB/cell): 0.0
Calculated total energy (eV per atom): -5.51

a b c (Å): 5.063 5.063 5.063
angles (deg): 60.00 60.00 60.00
Fractional positions:
1 Hf 0.000 0.000 0.000
2 Sn 0.250 0.250 0.250
3 Sn 0.500 0.500 0.500
4 As 0.750 0.750 0.750